Material: Te15W2Br12O2
Method: DFT, PBE+U
State: relaxed

extended XYZ file:
```
31
Lattice="-6.246 3.976 -2.627 -4.028 -8.336 2.351 -0.020 5.348 14.257" Properties=species:S:1:pos:R:3 pbc="T T T"
Te -4.284 -5.523 7.308
Te -7.381 -3.515 5.961
Te -6.482 6.098 7.036
Te -3.564 3.860 8.613
Te -8.942 -0.838 2.109
Te -5.784 -2.806 3.411
Te -1.641 1.685 12.122
Te -5.062 2.897 10.876
Te -2.177 1.532 7.601
Te -5.393 3.511 6.448
Te -8.414 -0.910 6.527
Te -5.318 -2.903 7.846
Te -3.381 -2.075 4.666
Te -6.513 -0.087 3.337
Te -7.492 2.960 9.640
W -5.170 -1.787 15.776
W -8.286 0.196 14.444
Br -8.730 -4.096 2.575
Br -5.660 -6.148 3.916
Br -4.867 -2.664 13.418
Br -7.988 -0.684 12.103
Br -5.829 1.339 -1.507
Br -2.739 4.658 14.002
Br -3.785 0.327 15.298
Br -6.852 2.285 13.901
Br -6.981 3.127 3.826
Br -4.016 1.104 5.232
Br -3.294 -2.262 9.789
Br -6.379 -0.272 8.477
O -9.904 1.273 13.813
O -6.782 -0.722 15.128
```

Uncorrected energy (eV/atom): -3.343
Spin magnetization (μB per cell): 1.99